The following is a DFT calculation (PBE-GGA) of a relaxed Hg2MoCl crystal.

Computed properties:
Formation energy from raw total energies   2.5 eV/f.u.
DOS at the Fermi energy   3.3 states/eV/cell
Energy relative to the lowest polymorph listed for this composition   0.446 eV/atom

Unit cell a=3.0804 b=4.8685 c=5.5827 alpha=90.00 beta=90.00 gamma=90.00
Positions (direct):
1 Hg 0.0000 0.0000 0.0000
2 Hg 0.5000 0.5000 0.0000
3 Mo 0.0000 0.5000 0.5000
4 Cl 0.5000 0.0000 0.5000

The following is a DFT calculation (PBE-GGA) of a relaxed ThAs2Pd6 crystal.

Computed properties:
ΔE_f   -450 meV/atom
DOS at the Fermi energy   5.7 states/eV/cell

Unit cell a=5.5829 b=5.5829 c=6.6889 alpha=90.00 beta=90.00 gamma=120.00
Positions (direct):
1 Th 0.0000 0.0000 0.0000
2 As 0.3333 0.6667 0.5000
3 As 0.6667 0.3333 0.5000
4 Pd 0.0000 0.4988 0.7912
5 Pd 0.0000 0.5012 0.2088
6 Pd 0.4988 0.0000 0.7912
7 Pd 0.4988 0.4988 0.2088
8 Pd 0.5012 0.0000 0.2088
9 Pd 0.5012 0.5012 0.7912

The following is a DFT calculation (PBE-GGA) of a relaxed MgTcTe3 crystal.

Computed properties:
Formation energy from raw total energies   4.7 eV/f.u.
DOS at the Fermi energy   5.9 states/eV/cell
Energy relative to the lowest polymorph listed for this composition   0.560 eV/atom

Unit cell a=5.3982 b=5.3982 c=5.3982 alpha=90.00 beta=90.00 gamma=90.00
Positions (direct):
1 Mg 0.0000 0.0000 0.0000
2 Tc 0.5000 0.5000 0.5000
3 Te 0.0000 0.0000 0.5000
4 Te 0.0000 0.5000 0.0000
5 Te 0.5000 0.0000 0.0000

The following is a DFT calculation (PBE-GGA) of a relaxed ErHfSb crystal.

Computed properties:
Formation energy from raw total energies   -2.1 eV/f.u.
DOS at the Fermi energy   4.8 states/eV/cell

Unit cell a=4.2798 b=4.2798 c=8.1034 alpha=90.00 beta=90.00 gamma=90.00
Positions (direct):
1 Er 0.2500 0.2500 0.1515
2 Er 0.7500 0.7500 0.8485
3 Hf 0.2500 0.7500 0.5000
4 Hf 0.7500 0.2500 0.5000
5 Sb 0.2500 0.2500 0.7669
6 Sb 0.7500 0.7500 0.2331